Record 1
Hf2TeSe | PBEsol | optimized geometry

```
Hf2TeSe
1.0
5.107 0.000 0.000
0.000 5.107 0.000
0.000 0.000 16.199
Hf Te Se
8 4 4
direct
0.197 0.250 0.125 Hf
0.250 0.697 0.375 Hf
0.250 0.803 0.875 Hf
0.303 0.250 0.625 Hf
0.697 0.750 0.625 Hf
0.750 0.197 0.875 Hf
0.750 0.303 0.375 Hf
0.803 0.750 0.125 Hf
0.000 0.000 0.500 Te
0.000 0.500 0.750 Te
0.500 0.000 0.250 Te
0.500 0.500 0.000 Te
0.000 0.000 0.000 Se
0.000 0.500 0.250 Se
0.500 0.000 0.750 Se
0.500 0.500 0.500 Se
```

## Properties
volume = 26.40 Å³ per atom
raw formation energy = -0.176 eV per atom
VASP energy = -116.4 eV per cell
size of the total moment = 0.0 μB/f.u.

---

Record 2
HfTeSe3 | PBEsol | optimized geometry

```
HfTeSe3
1.0
5.087 0.000 0.000
0.000 5.087 0.000
0.000 0.000 5.087
Hf Te Se
1 1 3
direct
0.000 0.000 0.000 Hf
0.500 0.500 0.500 Te
0.000 0.000 0.500 Se
0.000 0.500 0.000 Se
0.500 0.000 0.000 Se
```

## Properties
volume = 26.33 Å³ per atom
raw formation energy = -0.239 eV per atom
VASP energy = -26.8 eV per cell
size of the total moment = 0.0 μB/f.u.

---

Record 3
HfTeSe3 | PBEsol | optimized geometry

```
HfTeSe3
1.0
5.162 0.000 0.000
0.000 5.162 0.000
0.000 0.000 5.162
Hf Te Se
1 1 3
direct
0.000 0.000 0.000 Hf
0.500 0.500 0.500 Te
0.000 0.500 0.500 Se
0.500 0.000 0.500 Se
0.500 0.500 0.000 Se
```

## Properties
volume = 27.51 Å³ per atom
raw formation energy = 0.712 eV per atom
VASP energy = -22.0 eV per cell
size of the total moment = 1.2 μB/f.u.

---

Record 4
HfTi3Se | PBEsol | optimized geometry

```
HfTi3Se
1.0
4.795 0.000 0.000
0.000 4.795 0.000
0.000 0.000 4.795
Hf Ti Se
1 3 1
direct
0.000 0.000 0.000 Hf
0.000 0.000 0.500 Ti
0.000 0.500 0.000 Ti
0.500 0.000 0.000 Ti
0.500 0.500 0.500 Se
```

## Properties
volume = 22.06 Å³ per atom
raw formation energy = 1.158 eV per atom
VASP energy = -33.5 eV per cell
size of the total moment = 2.6 μB/f.u.

---

Record 5
HfTiSe2 | PBEsol | optimized geometry

```
HfTiSe2
1.0
6.453 0.000 0.000
0.000 6.453 0.000
0.000 0.000 6.453
Hf Ti Se
4 4 8
direct
0.000 0.000 0.000 Hf
0.000 0.500 0.500 Hf
0.500 0.000 0.500 Hf
0.500 0.500 0.000 Hf
0.000 0.000 0.500 Ti
0.000 0.500 0.000 Ti
0.500 0.000 0.000 Ti
0.500 0.500 0.500 Ti
0.250 0.250 0.250 Se
0.250 0.250 0.750 Se
0.250 0.750 0.250 Se
0.250 0.750 0.750 Se
0.750 0.250 0.250 Se
0.750 0.250 0.750 Se
0.750 0.750 0.250 Se
0.750 0.750 0.750 Se
```

## Properties
volume = 16.79 Å³ per atom
raw formation energy = -0.991 eV per atom
VASP energy = -122.0 eV per cell
size of the total moment = 0.0 μB/f.u.

---

Record 6
HfTiSe2 | PBEsol | optimized geometry

```
HfTiSe2
1.0
3.366 0.000 0.000
-1.683 2.915 0.000
0.000 0.000 25.387
Hf Ti Se
3 3 6
direct
0.000 0.000 0.000 Hf
0.333 0.667 0.667 Hf
0.667 0.333 0.333 Hf
0.000 0.000 0.500 Ti
0.333 0.667 0.167 Ti
0.667 0.333 0.833 Ti
0.000 0.000 0.103 Se
0.000 0.000 0.897 Se
0.333 0.667 0.564 Se
0.333 0.667 0.770 Se
0.667 0.333 0.230 Se
0.667 0.333 0.436 Se
```

## Properties
volume = 20.76 Å³ per atom
raw formation energy = -0.670 eV per atom
VASP energy = -87.6 eV per cell
size of the total moment = 0.0 μB/f.u.

---

Record 7
HfTlSe2 | PBEsol | optimized geometry

```
HfTlSe2
1.0
6.953 0.000 0.000
0.000 6.953 0.000
0.000 0.000 6.953
Hf Tl Se
4 4 8
direct
0.000 0.000 0.000 Hf
0.000 0.500 0.500 Hf
0.500 0.000 0.500 Hf
0.500 0.500 0.000 Hf
0.000 0.000 0.500 Tl
0.000 0.500 0.000 Tl
0.500 0.000 0.000 Tl
0.500 0.500 0.500 Tl
0.250 0.250 0.250 Se
0.250 0.250 0.750 Se
0.250 0.750 0.250 Se
0.250 0.750 0.750 Se
0.750 0.250 0.250 Se
0.750 0.250 0.750 Se
0.750 0.750 0.250 Se
0.750 0.750 0.750 Se
```

## Properties
volume = 21.01 Å³ per atom
raw formation energy = -0.393 eV per atom
VASP energy = -89.6 eV per cell
size of the total moment = 0.8 μB/f.u.

---

Record 8
Hf9W4Se | PBEsol | optimized geometry

```
Hf9W4Se
1.0
8.616 0.000 0.000
-4.308 7.462 0.000
0.000 0.000 8.572
Hf W Se
18 8 2
direct
0.084 0.542 0.250 Hf
0.194 0.389 0.547 Hf
0.194 0.389 0.953 Hf
0.194 0.806 0.547 Hf
0.194 0.806 0.953 Hf
0.389 0.194 0.047 Hf
0.389 0.194 0.453 Hf
0.458 0.542 0.250 Hf
0.458 0.916 0.250 Hf
0.542 0.084 0.750 Hf
0.542 0.458 0.750 Hf
0.611 0.806 0.547 Hf
0.611 0.806 0.953 Hf
0.806 0.194 0.047 Hf
0.806 0.194 0.453 Hf
0.806 0.611 0.047 Hf
0.806 0.611 0.453 Hf
0.916 0.458 0.750 Hf
0.000 0.000 0.000 W
0.000 0.000 0.500 W
0.110 0.220 0.250 W
0.110 0.890 0.250 W
0.220 0.110 0.750 W
0.780 0.890 0.250 W
0.890 0.110 0.750 W
0.890 0.780 0.750 W
0.333 0.667 0.750 Se
0.667 0.333 0.250 Se
```

## Properties
volume = 19.68 Å³ per atom
raw formation energy = -0.252 eV per atom
VASP energy = -314.3 eV per cell
size of the total moment = 0.0 μB/f.u.

---

Record 9
YHfSe2 | PBEsol | optimized geometry

```
YHfSe2
1.0
3.759 0.000 0.000
-1.880 3.256 0.000
0.000 0.000 25.788
Y Hf Se
3 3 6
direct
0.000 0.000 0.000 Y
0.333 0.667 0.667 Y
0.667 0.333 0.333 Y
0.000 0.000 0.500 Hf
0.333 0.667 0.167 Hf
0.667 0.333 0.833 Hf
0.000 0.000 0.401 Se
0.000 0.000 0.599 Se
0.333 0.667 0.068 Se
0.333 0.667 0.266 Se
0.667 0.333 0.734 Se
0.667 0.333 0.932 Se
```

## Properties
volume = 26.30 Å³ per atom
raw formation energy = -0.887 eV per atom
VASP energy = -85.7 eV per cell
size of the total moment = 0.1 μB/f.u.

---

Record 10
Hf3ZrSe | PBEsol | optimized geometry

```
Hf3ZrSe
1.0
5.038 0.000 0.000
0.000 5.038 0.000
0.000 0.000 5.038
Hf Zr Se
3 1 1
direct
0.000 0.000 0.500 Hf
0.000 0.500 0.000 Hf
0.500 0.000 0.000 Hf
0.000 0.000 0.000 Zr
0.500 0.500 0.500 Se
```

## Properties
volume = 25.58 Å³ per atom
raw formation energy = 1.203 eV per atom
VASP energy = -38.4 eV per cell
size of the total moment = 0.0 μB/f.u.

---

Record 11
HfZrSe2 | PBEsol | optimized geometry

```
HfZrSe2
1.0
3.482 0.000 0.000
-1.741 3.016 0.000
0.000 0.000 26.127
Hf Zr Se
3 3 6
direct
0.000 0.000 0.000 Hf
0.333 0.667 0.667 Hf
0.667 0.333 0.333 Hf
0.000 0.000 0.500 Zr
0.333 0.667 0.167 Zr
0.667 0.333 0.833 Zr
0.000 0.000 0.399 Se
0.000 0.000 0.601 Se
0.333 0.667 0.066 Se
0.333 0.667 0.268 Se
0.667 0.333 0.732 Se
0.667 0.333 0.934 Se
```

## Properties
volume = 22.86 Å³ per atom
raw formation energy = -0.742 eV per atom
VASP energy = -90.8 eV per cell
size of the total moment = 0.0 μB/f.u.

---

Record 12
HfSi | PBEsol | optimized geometry

```
HfSi
1.0
6.821 0.000 0.000
0.000 3.759 0.000
0.000 0.000 5.197
Hf Si
4 4
direct
0.176 0.250 0.126 Hf
0.324 0.750 0.626 Hf
0.676 0.250 0.374 Hf
0.824 0.750 0.874 Hf
0.043 0.250 0.640 Si
0.457 0.750 0.140 Si
0.543 0.250 0.860 Si
0.957 0.750 0.360 Si
```

## Properties
volume = 16.66 Å³ per atom
raw formation energy = -0.901 eV per atom
VASP energy = -72.2 eV per cell
size of the total moment = 0.0 μB/f.u.